(1)
K2RbO (PBE, optimized geometry); density = 1.776 g/cm3; magnetization = 0.01 μB/f.u.; ΔE_f (raw) = -0.741 eV/atom
1.0
-0.268 7.204 -1.440
-1.709 -3.683 -6.168
-5.366 -1.477 5.286
K O Rb
4 2 2
Direct
0.813 0.427 0.100
0.305 0.296 0.217
0.863 0.035 0.329
0.907 0.647 0.576
0.104 0.445 0.418
0.619 0.631 0.256
0.357 0.536 0.836
0.424 0.812 0.467

(2)
K2Rb2O (PBE, optimized geometry); density = 1.768 g/cm3; magnetization = 0.00 μB/f.u.; energy relative to the lowest polymorph listed for this composition = 0 meV per atom; ΔE_f (raw) = -0.592 eV/atom
1.0
-3.123 1.186 -2.588
-3.342 -6.948 0.849
-7.870 5.240 11.900
K Rb O
4 4 2
Direct
0.500 0.657 0.420
0.500 0.343 0.580
0.500 0.157 0.080
0.500 0.843 0.920
0.000 0.746 0.127
0.000 0.254 0.873
0.000 0.246 0.373
0.000 0.754 0.627
0.000 0.000 0.000
0.000 0.500 0.500

(3)
K2RbO (PBE, optimized geometry); density = 1.492 g/cm3; magnetization = 0.00 μB/f.u.; ΔE_f (raw) = -0.754 eV/atom
1.0
7.171 -0.011 -0.011
-2.121 8.053 0.017
-2.300 -4.031 6.926
K O Rb
4 2 2
Direct
0.082 0.239 0.040
0.217 0.241 0.460
0.338 0.655 0.454
0.707 0.510 0.181
0.460 0.377 0.319
0.965 0.377 0.319
0.852 0.527 0.619
0.578 0.079 0.175

(4)
KRb3O6 (PBE, optimized geometry); density = 3.006 g/cm3; magnetization = 2.01 μB/f.u.; ΔE_f (raw) = -0.909 eV/atom
1.0
7.903 -1.105 -1.937
-2.189 7.674 -1.937
-0.961 -1.105 8.080
K Rb O
2 6 12
Direct
0.000 0.000 0.000
0.500 0.500 0.500
0.217 0.750 0.283
0.283 0.217 0.750
0.250 0.717 0.783
0.750 0.283 0.217
0.717 0.783 0.250
0.783 0.250 0.717
0.853 0.628 0.986
0.014 0.147 0.372
0.128 0.353 0.486
0.372 0.014 0.147
0.353 0.486 0.128
0.514 0.872 0.647
0.486 0.128 0.353
0.647 0.514 0.872
0.628 0.986 0.853
0.872 0.647 0.514
0.986 0.853 0.628
0.147 0.372 0.014

(5)
K2RbO2 (PBE, optimized geometry); density = 3.020 g/cm3; magnetization = 1.00 μB/f.u.; energy relative to the lowest polymorph listed for this composition = 33 meV per atom; ΔE_f (raw) = -0.826 eV/atom
1.0
7.811 0.000 0.000
0.000 7.811 0.000
0.000 0.000 3.527
K O Rb
4 4 2
Direct
0.133 0.633 0.500
0.633 0.867 0.500
0.867 0.367 0.500
0.367 0.133 0.500
0.327 0.827 0.000
0.827 0.673 0.000
0.673 0.173 0.000
0.173 0.327 0.000
0.000 0.000 0.000
0.500 0.500 0.000

(6)
KRb8O2 (PBE, optimized geometry); density = 1.957 g/cm3; magnetization = 0.00 μB/f.u.; ΔE_f (raw) = -0.529 eV/atom
1.0
8.896 -0.139 -0.119
0.180 8.444 -1.807
0.180 -0.476 8.622
K Rb O
1 8 2
Direct
0.000 0.000 0.000
0.739 0.097 0.688
0.261 0.312 0.903
0.592 0.152 0.152
0.408 0.848 0.848
0.739 0.688 0.097
0.261 0.903 0.312
0.205 0.354 0.354
0.795 0.646 0.646
0.279 0.100 0.100
0.721 0.900 0.900

(7)
K2RbO (PBE, optimized geometry); density = 1.761 g/cm3; magnetization = 0.00 μB/f.u.; ΔE_f (raw) = -0.731 eV/atom
1.0
4.135 -0.002 -0.001
0.002 5.421 -0.002
2.018 2.651 7.557
K Rb O
2 1 1
Direct
0.620 0.085 0.278
0.014 0.479 0.495
0.387 0.851 0.755
0.010 0.975 0.502

(8)
K2RbO (PBE, optimized geometry); density = 1.660 g/cm3; magnetization = 0.00 μB/f.u.; ΔE_f (raw) = -0.762 eV/atom
1.0
-1.042 -3.808 1.357
6.149 -1.709 -6.186
5.048 1.836 8.945
K O Rb
4 2 2
Direct
0.474 0.967 0.248
0.526 0.033 0.752
0.822 0.651 0.992
0.178 0.349 0.008
0.671 0.336 0.838
0.329 0.664 0.162
0.808 0.616 0.320
0.192 0.384 0.680

(9)
K5Rb4O2 (PBE, optimized geometry); density = 1.460 g/cm3; magnetization = 0.00 μB/f.u.; ΔE_f (raw) = -0.502 eV/atom
1.0
-1.311 0.787 4.617
-3.522 -7.276 0.240
16.245 -2.313 5.007
K Rb O
5 4 2
Direct
0.000 0.875 0.187
0.000 0.272 0.358
0.000 0.000 0.500
0.000 0.728 0.642
0.000 0.125 0.813
0.500 0.209 0.665
0.500 0.298 0.080
0.500 0.791 0.335
0.500 0.702 0.920
0.000 0.044 0.659
0.000 0.956 0.341

(10)
K2RbO (PBE, optimized geometry); density = 1.605 g/cm3; magnetization = 0.00 μB/f.u.; ΔE_f (raw) = -0.725 eV/atom
1.0
-3.241 1.736 0.415
0.891 -3.969 6.698
6.232 10.369 5.314
K Rb O
4 2 2
Direct
0.378 0.750 0.626
0.622 0.250 0.374
0.378 0.750 0.874
0.622 0.250 0.126
0.822 0.643 0.250
0.178 0.357 0.750
0.815 0.626 0.750
0.185 0.374 0.250

(11)
K2RbO (PBE, optimized geometry); density = 1.767 g/cm3; magnetization = 0.00 μB/f.u.; ΔE_f (raw) = -0.666 eV/atom
1.0
-1.275 -3.968 1.231
2.353 -3.480 -1.111
5.847 -1.549 8.735
K Rb O
2 1 1
Direct
0.034 0.034 0.899
0.298 0.298 0.107
0.504 0.504 0.488
0.665 0.665 0.005

(12)
K5Rb2O (PBE, optimized geometry); density = 1.149 g/cm3; magnetization = 0.00 μB/f.u.; energy relative to the lowest polymorph listed for this composition = 6 meV per atom; ΔE_f (raw) = -0.332 eV/atom
1.0
8.468 0.000 0.000
0.000 8.468 -0.001
-4.234 -4.234 7.710
K Rb O
5 2 1
Direct
0.791 0.215 0.006
0.215 0.215 0.006
0.791 0.791 0.006
0.215 0.791 0.006
0.805 0.805 0.610
0.246 0.747 0.493
0.746 0.246 0.493
0.968 0.968 0.935

Question: What is the density in the twelfth record?
Answer: 1.149 g/cm3